Record 1
A plane-wave DFT calculation with GGA-PBE was carried out for a relaxed TlCdPt4 crystal.

## Properties
- Symmetry: F-43m
- Uncorrected energy: -27.942 eV/f.u.

Unit cell a=5.4171 b=5.4171 c=5.4171 alpha=60.00 beta=60.00 gamma=60.00
Positions (direct):
Cd 0.0000 0.0000 0.0000
Pt 0.1250 0.6250 0.6250
Pt 0.6250 0.6250 0.6250
Pt 0.6250 0.1250 0.6250
Pt 0.6250 0.6250 0.1250
Tl 0.2500 0.2500 0.2500

---

Record 2
A plane-wave DFT calculation with GGA-PBE was carried out for a relaxed La2Er crystal.

## Properties
- Symmetry: Fd-3m
- Uncorrected energy: -13.645 eV/f.u.

Unit cell a=6.6990 b=6.6990 c=6.6990 alpha=60.00 beta=60.00 gamma=60.00
Positions (direct):
La 0.1250 0.6250 0.6250
La 0.6250 0.1250 0.6250
La 0.6250 0.6250 0.6250
La 0.6250 0.6250 0.1250
Er 0.0000 0.0000 0.0000
Er 0.2500 0.2500 0.2500

---

Record 3
A plane-wave DFT calculation with GGA-PBE was carried out for a relaxed La5P2N2 crystal.

## Properties
- Raw formation energy: -27.93 kcal/mol of atoms
- Symmetry: Ima2
- Uncorrected energy: -63.009 eV/f.u.

Unit cell a=7.3275 b=6.5554 c=10.6633 alpha=107.90 beta=110.10 gamma=90.00
Positions (direct):
La 0.2301 0.7070 0.9604
La 0.7699 0.7466 0.0396
La 0.2303 0.2070 0.9604
La 0.7697 0.2466 0.0396
La 0.2201 0.1242 0.2942
La 0.7799 0.8300 0.7058
La 0.5741 0.6242 0.2942
La 0.4259 0.3300 0.7058
La 0.1544 0.6864 0.5000
La 0.8456 0.1864 0.5000
P 0.1420 0.5803 0.2039
P 0.8580 0.3764 0.7961
P 0.5619 0.0803 0.2039
P 0.4381 0.8764 0.7961
N 0.0000 0.9775 0.0000
N 0.5000 0.4775 0.0000
N 0.1547 0.3075 0.5000
N 0.8453 0.8075 0.5000

---

Record 4
A plane-wave DFT calculation with GGA-PBE was carried out for a relaxed SiBRhAuCS crystal.

## Properties
- Raw formation energy: 8.02 kcal/mol of atoms
- Symmetry: P1
- Uncorrected energy: -33.994 eV/f.u.

Unit cell a=4.3244 b=4.8315 c=5.0300 alpha=64.98 beta=81.77 gamma=82.80
Positions (direct):
C 0.5950 0.8782 0.2817
B 0.6599 0.5565 0.3558
Si 0.4417 0.2146 0.3404
S 0.1168 0.0339 0.7557
Au 0.0147 0.4572 0.0245
Rh 0.5879 0.1759 0.8255

---

Record 5
A plane-wave DFT calculation with GGA-PBE was carried out for a relaxed CeHoNp2Se4 crystal.

## Properties
- Raw formation energy: -33.08 kcal/mol of atoms
- Symmetry: P2/m
- Uncorrected energy: -61.807 eV/f.u.

Unit cell a=4.1133 b=7.1559 c=7.0947 alpha=109.40 beta=90.00 gamma=90.00
Positions (direct):
Ce 0.5000 0.5000 0.0000
Ho 0.0000 0.0000 0.0000
Np 0.5000 0.0000 0.5000
Np 0.0000 0.5000 0.5000
Se 0.5000 0.2444 0.2494
Se 0.5000 0.7556 0.7506
Se 0.0000 0.2428 0.7455
Se 0.0000 0.7572 0.2545

---

Record 6
A plane-wave DFT calculation with GGA-PBE was carried out for a relaxed Ca3PuAs3 crystal.

## Properties
- Symmetry: P2_13
- Uncorrected energy: -42.029 eV/f.u.

Unit cell a=8.9388 b=8.9388 c=8.9388 alpha=90.00 beta=90.00 gamma=90.00
Positions (direct):
Ca 0.8187 0.3187 0.1813
Ca 0.9344 0.9344 0.9344
Ca 0.8201 0.6799 0.3201
Ca 0.1813 0.8187 0.3187
Ca 0.1799 0.1799 0.1799
Ca 0.3201 0.8201 0.6799
Ca 0.0656 0.4344 0.5656
Ca 0.3187 0.1813 0.8187
Ca 0.6799 0.3201 0.8201
Ca 0.6813 0.6813 0.6813
Ca 0.5656 0.0656 0.4344
Ca 0.4344 0.5656 0.0656
Pu 0.0673 0.5673 0.9327
Pu 0.9327 0.0673 0.5673
Pu 0.4327 0.4327 0.4327
Pu 0.5673 0.9327 0.0673
As 0.7554 0.6286 0.9989
As 0.8714 0.0011 0.2554
As 0.9989 0.7554 0.6286
As 0.1286 0.5011 0.2446
As 0.2446 0.1286 0.5011
As 0.2554 0.8714 0.0011
As 0.0011 0.2554 0.8714
As 0.3714 0.4989 0.7446
As 0.5011 0.2446 0.1286
As 0.6286 0.9989 0.7554
As 0.7446 0.3714 0.4989
As 0.4989 0.7446 0.3714

---

What is the uncorrected energy in the first record? -27.942 eV/f.u.